Ta2NbCoH: relaxed, GGA-PBE.

Cell: 4.416 4.416 3.425 Å, 90.00 90.00 90.00°
Space group P4/mmm (No. 123)
Symmetry-distinct sites (fractional):
1 Ta 0.000 0.500 0.000 [2 per cell]
2 Nb 0.000 0.000 0.500 [1 per cell]
3 Co 0.500 0.500 0.500 [1 per cell]
4 H 0.500 0.500 0.000 [1 per cell]

Total magnetization   0.13 μB/cell
DOS(E_F)   0.92 states/eV/atom
ΔE to the lowest computed polymorph   0.000 eV per atom
E   -8.934 eV/atom